[1]
Entry from OQMD: crystalline SrPrMo at its relaxed geometry (GGA-PBE).

a = 5.2086 Å, b = 5.2086 Å, c = 5.2086 Å
α = 60.00°, β = 60.00°, γ = 60.00°
Sites, in units of the cell vectors:
Sr (0.0000, 0.0000, 0.0000)
Pr (0.7500, 0.7500, 0.7500)
Mo (0.5000, 0.5000, 0.5000)

Properties
Magnetization: 2.9 μB per cell
Total DFT energy (no corrections): -4.3023 eV/atom

---

[2]
Entry from OQMD: crystalline Ta4CuC2S at its relaxed geometry (GGA-PBE).

a = 3.2151 Å, b = 3.2151 Å, c = 12.3145 Å
α = 90.00°, β = 90.00°, γ = 120.00°
Sites, in units of the cell vectors:
Ta (0.0000, 0.0000, 0.1452)
Ta (0.0000, 0.0000, 0.8548)
Ta (0.6667, 0.3333, 0.3349)
Ta (0.6667, 0.3333, 0.6651)
Cu (0.0000, 0.0000, 0.5000)
C (0.3333, 0.6667, 0.2435)
C (0.3333, 0.6667, 0.7565)
S (0.6667, 0.3333, 0.0000)

Properties
Magnetization: 0.0 μB per cell
Total DFT energy (no corrections): -9.6973 eV/atom